#1
Compound: InPd2Pt2
Source: the Open Quantum Materials Database
Functional: GGA-PBE
Structure: optimized geometry

Unit cell a=9.7713 b=4.9199 c=7.4081 alpha=90.00 beta=113.50 gamma=90.00
Closest atoms and distances in Å follow each position.
Space group C2/c (No. 15)
Inequivalent atoms, fractional coordinates:
In1 0.0000 0.1681 0.2500  6 Pt 2.83-2.89, 6 Pd 2.83-2.86
Pd1 0.1993 0.1681 0.6515  6 Pt 2.81-2.86, 3 Pd 2.83-2.91, 3 In 2.83-2.86
Pt1 0.1024 0.3341 0.9502  3 Pt 2.80-2.90, 6 Pd 2.81-2.86, 3 In 2.83-2.89

- Crystal system: monoclinic

---

#2
Compound: InPd2Pt2
Source: the Open Quantum Materials Database
Functional: GGA-PBE
Structure: optimized geometry

Unit cell a=3.7577 b=3.7577 c=12.7017 alpha=90.00 beta=90.00 gamma=90.00
Closest atoms and distances in Å follow each position.
Space group I4/mmm (No. 139)
Inequivalent atoms, fractional coordinates:
In1 0.0000 0.0000 0.0000  8 Pt 2.94
Pd1 0.0000 0.5000 0.2500  4 Pd 2.66, 4 Pt 2.68
Pt1 0.0000 0.0000 0.4009  1 Pt 2.52, 4 Pd 2.68

- Crystal system: tetragonal

---

Pick the most stable structure from those above. Pick: #1